(1)
Here is an optimized crystal structure of TaAs3 from Alexandria via LeMat-Bulk. Energies are from PBE.

Summary:
DFT total energy (Ry per atom): -0.46400
Crystal system: monoclinic
Symmetry: No. 10

Cell: 5.2180 3.7623 3.8818 Å, 87.22 90.00 90.00°
With the nearest neighbours (Å) after each atom.
Fractional coordinates of all 4 atoms:
Ta 0.5000 0.2500 0.2500  8 As 2.64-2.88
As 0.5000 0.7500 0.7500  4 Ta 2.64-2.77
As 0.0000 0.4805 0.4605  2 As 2.44-2.54
As 0.0000 0.0195 0.0395  2 As 2.44-2.54


(2)
Here is an optimized crystal structure of Ta3As from Alexandria via LeMat-Bulk. Energies are from PBE.

Summary:
DFT total energy (Ry per atom): -0.76289
Crystal system: monoclinic
Symmetry: No. 15

Cell: 7.8278 7.8278 14.6404 Å, 89.37 89.37 38.32°
With the nearest neighbours (Å) after each atom.
Fractional coordinates of all 32 atoms:
Ta 0.4128 0.9046 0.9957  2 As 2.64-2.68, 1 Ta 2.71
Ta 0.5679 0.5655 0.1705  4 As 2.64-2.68, 2 Ta 2.90-2.92
Ta 0.9832 0.5017 0.7022  2 As 2.63-2.65, 4 Ta 2.92-2.94
Ta 0.0954 0.5872 0.5043  2 As 2.64-2.68, 1 Ta 2.71
Ta 0.9769 0.5177 0.0908  2 As 2.63-2.67, 2 Ta 2.67-2.92
Ta 0.0636 0.0848 0.3230  4 As 2.63-2.69, 1 Ta 2.86
Ta 0.4345 0.4321 0.3295  4 As 2.64-2.68, 2 Ta 2.90-2.92
Ta 0.9046 0.4128 0.4957  2 As 2.64-2.68, 1 Ta 2.71
Ta 0.2007 0.7019 0.0058  2 As 2.63-2.68, 2 Ta 2.86-2.90
Ta 0.9364 0.9152 0.6770  4 As 2.63-2.69, 1 Ta 2.86
Ta 0.0168 0.4983 0.2978  2 As 2.63-2.65, 4 Ta 2.92-2.94
Ta 0.5017 0.9832 0.2022  2 As 2.63-2.65, 4 Ta 2.92-2.94
Ta 0.0231 0.4823 0.9092  2 As 2.63-2.67, 2 Ta 2.67-2.92
Ta 0.4983 0.0168 0.7978  2 As 2.63-2.65, 4 Ta 2.92-2.94
Ta 0.5872 0.0954 0.0043  2 As 2.64-2.68, 1 Ta 2.71
Ta 0.7019 0.2007 0.5058  2 As 2.63-2.68, 2 Ta 2.86-2.90
Ta 0.0848 0.0636 0.8230  4 As 2.63-2.69, 1 Ta 2.86
Ta 0.5177 0.9769 0.5908  2 As 2.63-2.67, 2 Ta 2.67-2.92
Ta 0.9152 0.9364 0.1770  4 As 2.63-2.69, 1 Ta 2.86
Ta 0.4823 0.0231 0.4092  2 As 2.63-2.67, 2 Ta 2.67-2.92
Ta 0.4321 0.4345 0.8295  4 As 2.64-2.68, 2 Ta 2.90-2.92
Ta 0.5655 0.5679 0.6705  4 As 2.64-2.68, 2 Ta 2.90-2.92
Ta 0.7993 0.2981 0.9942  2 As 2.63-2.68, 2 Ta 2.86-2.90
Ta 0.2981 0.7993 0.4942  2 As 2.63-2.68, 2 Ta 2.86-2.90
As 0.3727 0.4002 0.1561  8 Ta 2.63-2.68
As 0.1016 0.0999 0.6412  8 Ta 2.63-2.69
As 0.5998 0.6273 0.3439  8 Ta 2.63-2.68
As 0.8984 0.9001 0.3588  8 Ta 2.63-2.69
As 0.0999 0.1016 0.1412  8 Ta 2.63-2.69
As 0.4002 0.3727 0.6561  8 Ta 2.63-2.68
As 0.6273 0.5998 0.8439  8 Ta 2.63-2.68
As 0.9001 0.8984 0.8588  8 Ta 2.63-2.69


(3)
Here is an optimized crystal structure of TaAs3 from Alexandria via LeMat-Bulk. Energies are from PBE.

Summary:
DFT total energy (Ry per atom): -0.47603
Crystal system: orthorhombic
Symmetry: No. 63

Cell: 7.8375 7.8375 3.7402 Å, 90.00 90.00 117.16°
With the nearest neighbours (Å) after each atom.
Fractional coordinates of all 8 atoms:
As 0.3685 0.1692 0.2500  1 As 2.56, 2 Ta 2.67
As 0.8308 0.6315 0.2500  1 As 2.56, 2 Ta 2.67
As 0.2715 0.7285 0.7500  2 As 2.56, 2 Ta 2.73
As 0.7285 0.2715 0.2500  2 As 2.56, 2 Ta 2.73
As 0.1692 0.3685 0.7500  1 As 2.56, 2 Ta 2.67
As 0.6315 0.8308 0.7500  1 As 2.56, 2 Ta 2.67
Ta 0.4207 0.5793 0.2500  6 As 2.67-2.73, 2 Ta 2.83
Ta 0.5793 0.4207 0.7500  6 As 2.67-2.73, 2 Ta 2.83


(4)
Here is an optimized crystal structure of TaTcAs2 from Alexandria via LeMat-Bulk. Energies are from PBE.

Summary:
DFT total energy (Ry per atom): -0.57559
Crystal system: trigonal
Symmetry: No. 166
Energy relative to the lowest polymorph listed for this composition (meV per atom): 321.4

Cell: 8.2423 8.2423 8.2423 Å, 21.34 21.34 21.34°
With the nearest neighbours (Å) after each atom.
Fractional coordinates of all 4 atoms:
Tc 0.7500 0.7500 0.7500  6 As 2.57
As 0.0059 0.0059 0.0059  3 Tc 2.57, 3 Ta 2.78
As 0.4941 0.4941 0.4941  3 Tc 2.57, 3 Ta 2.78
Ta 0.2500 0.2500 0.2500  6 As 2.78, 6 Ta 3.05


(5)
Here is an optimized crystal structure of TaTcAs2 from Alexandria via LeMat-Bulk. Energies are from PBE.

Summary:
DFT total energy (Ry per atom): -0.58949
Crystal system: tetragonal
Symmetry: No. 99
Energy relative to the lowest polymorph listed for this composition (meV per atom): 132.3

Cell: 3.0641 3.0641 7.9329 Å, 90.00 90.00 90.00°
With the nearest neighbours (Å) after each atom.
Fractional coordinates of all 4 atoms:
As 0.0000 0.0000 0.9226  4 Tc 2.56
As 0.5000 0.5000 0.2979  4 Ta 2.83, 4 As 3.06
Tc 0.5000 0.5000 0.7515  4 As 2.56, 4 Ta 2.80
Ta 0.0000 0.0000 0.5280  4 Tc 2.80, 5 As 2.83-3.13, 4 Ta 3.06


(6)
Here is an optimized crystal structure of TaTcAs2 from Alexandria via LeMat-Bulk. Energies are from PBE.

Summary:
DFT total energy (Ry per atom): -0.56335
Crystal system: orthorhombic
Symmetry: No. 65
Energy relative to the lowest polymorph listed for this composition (meV per atom): 487.9

Cell: 3.0060 3.0060 8.0915 Å, 90.00 90.00 114.86°
With the nearest neighbours (Å) after each atom.
Fractional coordinates of all 4 atoms:
Ta 0.5000 0.5000 0.2500  4 As 2.65
As 0.0000 0.0000 0.5088  2 Tc 2.54, 2 Ta 2.65
As 0.0000 0.0000 0.9912  2 Tc 2.54, 2 Ta 2.65
Tc 0.5000 0.5000 0.7500  4 As 2.54


(7)
Here is an optimized crystal structure of TaTcAs from Alexandria via LeMat-Bulk. Energies are from PBE.

Summary:
DFT total energy (Ry per atom): -0.66743
Crystal system: tetragonal
Symmetry: No. 107
Energy relative to the lowest polymorph listed for this composition (meV per atom): 71.5

Cell: 5.5183 5.5183 3.0574 Å, 73.92 73.92 32.17°
With the nearest neighbours (Å) after each atom.
Fractional coordinates of all 3 atoms:
Ta 0.3341 0.3341 0.6659  4 As 2.85, 5 Tc 2.87-3.19, 4 Ta 3.06
As 0.0173 0.0173 0.9827  4 Tc 2.54
Tc 0.6486 0.6486 0.3514  4 As 2.54


(8)
Here is an optimized crystal structure of TaTcAs from Alexandria via LeMat-Bulk. Energies are from PBE.

Summary:
DFT total energy (Ry per atom): -0.63696
Crystal system: cubic
Symmetry: No. 216
Energy relative to the lowest polymorph listed for this composition (meV per atom): 486.0

Cell: 4.3135 4.3135 4.3135 Å, 60.00 60.00 60.00°
With the nearest neighbours (Å) after each atom.
Fractional coordinates of all 3 atoms:
Tc 0.0000 0.0000 0.0000  4 Ta 2.64
Ta 0.7500 0.7500 0.7500  4 As 2.64, 4 Tc 2.64
As 0.5000 0.5000 0.5000  4 Ta 2.64


(9)
Here is an optimized crystal structure of TaTcAs2 from Alexandria via LeMat-Bulk. Energies are from PBE.

Summary:
DFT total energy (Ry per atom): -0.59655
Crystal system: monoclinic
Symmetry: No. 8
Energy relative to the lowest polymorph listed for this composition (meV per atom): 36.2

Cell: 4.7548 4.7548 4.6004 Å, 74.92 74.92 39.86°
With the nearest neighbours (Å) after each atom.
Fractional coordinates of all 4 atoms:
As 0.0068 0.0068 0.9469  3 Tc 2.58-2.64, 4 Ta 2.80-2.83
As 0.2466 0.2466 0.3037  3 Ta 2.57-2.62, 4 Tc 2.81-2.82
Ta 0.5064 0.5064 0.4430  7 As 2.57-2.83
Tc 0.7402 0.7402 0.8064  7 As 2.58-2.82


(10)
Here is an optimized crystal structure of Ta2TcAs2 from Alexandria via LeMat-Bulk. Energies are from PBE.

Summary:
DFT total energy (Ry per atom): -0.62502
Crystal system: tetragonal
Symmetry: No. 127
Energy relative to the lowest polymorph listed for this composition (meV per atom): 262.4

Cell: 7.1546 7.1546 3.3583 Å, 90.00 90.00 90.00°
With the nearest neighbours (Å) after each atom.
Fractional coordinates of all 10 atoms:
Tc 0.0000 0.0000 0.0000  4 Ta 2.74
Tc 0.5000 0.5000 0.0000  4 Ta 2.74
Ta 0.8542 0.6458 0.0000  6 As 2.63-2.72, 2 Tc 2.74
Ta 0.6458 0.1458 0.0000  6 As 2.63-2.72, 2 Tc 2.74
Ta 0.1458 0.3542 0.0000  6 As 2.63-2.72, 2 Tc 2.74
Ta 0.3542 0.8542 0.0000  6 As 2.63-2.72, 2 Tc 2.74
As 0.8460 0.3460 0.5000  6 Ta 2.63-2.72
As 0.6540 0.8460 0.5000  6 Ta 2.63-2.72
As 0.3460 0.1540 0.5000  6 Ta 2.63-2.72
As 0.1540 0.6540 0.5000  6 Ta 2.63-2.72


(11)
Here is an optimized crystal structure of TaTcAs2 from Alexandria via LeMat-Bulk. Energies are from PBE.

Summary:
DFT total energy (Ry per atom): -0.57119
Crystal system: monoclinic
Symmetry: No. 10
Energy relative to the lowest polymorph listed for this composition (meV per atom): 381.3

Cell: 3.9268 3.1172 5.4655 Å, 86.35 90.00 90.00°
With the nearest neighbours (Å) after each atom.
Fractional coordinates of all 4 atoms:
As 0.0000 0.8705 0.0056  2 Tc 2.45, 2 Ta 2.69, 1 As 2.73
As 0.0000 0.6295 0.4944  2 Tc 2.45, 2 Ta 2.69, 1 As 2.73
Ta 0.5000 0.2500 0.2500  8 As 2.69-3.01
Tc 0.5000 0.7500 0.7500  4 As 2.45


(12)
Here is an optimized crystal structure of TaTcAs2 from Alexandria via LeMat-Bulk. Energies are from PBE.

Summary:
DFT total energy (Ry per atom): -0.57898
Crystal system: monoclinic
Symmetry: No. 12
Energy relative to the lowest polymorph listed for this composition (meV per atom): 275.3

Cell: 4.2703 4.2703 5.4574 Å, 78.71 78.71 42.15°
With the nearest neighbours (Å) after each atom.
Fractional coordinates of all 4 atoms:
As 0.4965 0.4965 0.5184  3 Tc 2.60, 3 Ta 2.69-2.71
As 0.0035 0.0035 0.9816  3 Tc 2.60, 3 Ta 2.69-2.71
Ta 0.2500 0.2500 0.2500  6 As 2.69-2.71
Tc 0.7500 0.7500 0.7500  6 As 2.60


(13)
Here is an optimized crystal structure of TaTc4As from Alexandria via LeMat-Bulk. Energies are from PBE.

Summary:
DFT total energy (Ry per atom): -0.68964
Crystal system: cubic
Symmetry: No. 216

Cell: 5.1557 5.1557 5.1557 Å, 60.00 60.00 60.00°
With the nearest neighbours (Å) after each atom.
Fractional coordinates of all 6 atoms:
Tc 0.3758 0.3758 0.3758  6 Tc 2.56-2.59
Tc 0.3758 0.3758 0.8726  6 Tc 2.56-2.59
Tc 0.8726 0.3758 0.3758  6 Tc 2.56-2.59
Tc 0.3758 0.8726 0.3758  6 Tc 2.56-2.59
As 0.7500 0.7500 0.7500  12 Tc 3.02, 4 Ta 3.16
Ta 0.0000 0.0000 0.0000  12 Tc 3.02, 4 As 3.16


(14)
Here is an optimized crystal structure of Ta2TcAs2 from Alexandria via LeMat-Bulk. Energies are from PBE.

Summary:
DFT total energy (Ry per atom): -0.64430
Crystal system: tetragonal
Symmetry: No. 127
Energy relative to the lowest polymorph listed for this composition (meV per atom): 0.0

Cell: 6.9423 6.9423 3.4066 Å, 90.00 90.00 90.00°
With the nearest neighbours (Å) after each atom.
Fractional coordinates of all 10 atoms:
As 0.6517 0.1517 0.0000  6 Ta 2.61-2.69, 2 Tc 2.64
As 0.8483 0.6517 0.0000  6 Ta 2.61-2.69, 2 Tc 2.64
As 0.1517 0.3483 0.0000  6 Ta 2.61-2.69, 2 Tc 2.64
As 0.3483 0.8483 0.0000  6 Ta 2.61-2.69, 2 Tc 2.64
Tc 0.5000 0.5000 0.0000  4 As 2.64
Tc 0.0000 0.0000 0.0000  4 As 2.64
Ta 0.1474 0.6474 0.5000  6 As 2.61-2.69, 1 Ta 2.89
Ta 0.3526 0.1474 0.5000  6 As 2.61-2.69, 1 Ta 2.89
Ta 0.8526 0.3526 0.5000  6 As 2.61-2.69, 1 Ta 2.89
Ta 0.6474 0.8526 0.5000  6 As 2.61-2.69, 1 Ta 2.89


Number 1: formation enthalpy at 0 K 0.549 eV/f.u., magnetic moment 0.00 μB per atom. Number 2: formation enthalpy at 0 K -1.311 eV/f.u., magnetic moment 0.00 μB per atom. Number 3: formation enthalpy at 0 K -0.106 eV/f.u., magnetic moment 0.00 μB per atom. Number 4: formation enthalpy at 0 K 0.192 eV/f.u., magnetic moment 0.00 μB per atom. Number 5: formation enthalpy at 0 K -0.564 eV/f.u., magnetic moment 0.00 μB per atom. Number 6: formation enthalpy at 0 K 0.859 eV/f.u., magnetic moment 0.00 μB per atom. Number 7: formation enthalpy at 0 K -0.374 eV/f.u., magnetic moment 0.00 μB per atom. Number 8: formation enthalpy at 0 K 0.869 eV/f.u., magnetic moment 0.00 μB per atom. Number 9: formation enthalpy at 0 K -0.948 eV/f.u., magnetic moment 0.00 μB per atom. Number 10: formation enthalpy at 0 K 0.851 eV/f.u., magnetic moment 0.00 μB per atom. Number 11: formation enthalpy at 0 K 0.432 eV/f.u., magnetic moment 0.00 μB per atom. Number 12: formation enthalpy at 0 K 0.008 eV/f.u., magnetic moment 0.00 μB per atom. Number 13: formation enthalpy at 0 K 1.668 eV/f.u., magnetic moment 0.00 μB per atom. Number 14: formation enthalpy at 0 K -0.460 eV/f.u., magnetic moment 0.00 μB per atom.